Li2Tl (PBEsol, optimized geometry); V = 491 Å³/cell; energy of formation from the pure elements = -22 kJ per mole of atoms
1.0
-0.392 -0.881 8.801
-2.708 -7.637 3.568
5.789 -5.229 4.187
Li Tl
16 8
Cartesian
3.231 -4.333 4.163
-1.018 -5.537 3.854
0.140 -2.159 6.470
0.336 -1.718 2.070
1.314 -7.885 12.629
0.376 -10.619 10.511
3.816 -9.645 10.761
0.218 -10.976 14.073
3.657 -10.002 14.324
2.719 -12.736 12.206
2.047 -9.299 8.067
2.985 -6.565 10.185
-0.455 -7.539 9.934
3.144 -6.208 6.622
-0.296 -7.183 6.372
0.642 -4.448 8.490
0.920 -4.705 5.667
0.673 -5.261 11.220
-0.789 -9.524 7.918
4.573 -8.004 8.309
2.441 -12.479 15.029
2.688 -11.923 9.476
4.150 -7.660 12.778
-1.212 -9.180 12.387